Record 1
Compound: Ce2AgF8
Source: the Alexandria database
Functional: PBE
Structure: optimized geometry

Structure (extended XYZ):
```
11
Lattice="4.086 -0.533 -0.404 -0.835 6.728 0.447 -0.835 2.242 6.359" Properties=species:S:1:pos:R:3 pbc="T T T"
Ce 0.557 5.834 4.427
Ce 1.860 2.603 1.975
Ag 0.000 0.000 0.000
F 0.599 4.155 5.916
F 1.818 1.621 3.994
F -1.255 6.988 5.302
F 3.671 1.449 1.099
F 0.599 6.817 2.408
F 1.818 4.283 0.485
F 2.346 4.566 3.464
F 0.071 3.871 2.937
```

Values from the calculation:
E_form (uncorrected) (eV per atom): -3.362
Total energy (Ry/atom): -0.4455
Crystal system: monoclinic
SG: C2/m, No. 12

---

Record 2
Compound: BeCr2Mo
Source: the Alexandria database
Functional: PBE
Structure: optimized geometry

Structure (extended XYZ):
```
4
Lattice="-3.831 -0.682 -2.212 -2.878 -3.275 -1.012 -3.021 0.121 2.662" Properties=species:S:1:pos:R:3 pbc="T T T"
Cr -6.784 -3.946 -3.140
Cr -4.791 -1.929 -0.364
Mo -7.298 -2.877 -0.421
Be -2.433 -0.959 -0.140
```

Values from the calculation:
Total energy (Ry/atom): -0.6115
Crystal system: monoclinic
SG: C2/m, No. 12

---

Record 3
Compound: Tb6Ga2Ni
Source: the Alexandria database
Functional: PBE
Structure: optimized geometry

Structure (extended XYZ):
```
18
Lattice="6.052 0.000 0.397 0.000 8.256 0.000 -0.215 0.000 9.573" Properties=species:S:1:pos:R:3 pbc="T T T"
Tb 5.318 7.993 2.641
Tb 5.164 5.581 5.677
Tb 5.122 5.582 9.366
Tb 3.633 1.454 5.588
Tb 3.590 1.453 9.278
Tb 3.652 3.865 2.740
Tb 0.519 0.263 7.329
Tb 0.672 2.675 4.293
Tb 0.715 2.674 0.604
Tb 2.204 6.802 4.381
Tb 2.246 6.803 0.692
Tb 2.185 4.391 7.230
Ga 5.445 3.107 7.561
Ga 3.310 7.236 7.394
Ga 2.527 1.021 2.576
Ga 0.391 5.149 2.409
Ni 3.026 4.128 0.198
Ni -0.107 0.000 4.787
```

Values from the calculation:
Total energy (Ry/atom): -0.3454
Crystal system: monoclinic
SG: P2_1/c, No. 14

---

Record 4
Compound: RbPuGe2
Source: the Alexandria database
Functional: PBE
Structure: optimized geometry

Structure (extended XYZ):
```
4
Lattice="-4.541 -1.615 -0.125 -2.024 -1.180 -4.214 0.071 -7.337 -0.737" Properties=species:S:1:pos:R:3 pbc="T T T"
Ge -1.930 -1.663 -1.365
Ge -4.564 -8.470 -3.710
Rb -3.247 -5.066 -2.538
Pu 0.000 0.000 0.000
```

Values from the calculation:
Total energy (Ry/atom): -0.4480
Crystal system: trigonal
SG: R-3m, No. 166

---

Record 5
Compound: SrCaY2
Source: the Alexandria database
Functional: PBE
Structure: optimized geometry

Structure (extended XYZ):
```
4
Lattice="6.709 0.026 0.000 2.569 6.197 0.000 -4.639 -3.112 3.716" Properties=species:S:1:pos:R:3 pbc="T T T"
Y 0.000 0.000 0.000
Y 4.639 3.112 0.000
Sr 3.354 0.013 1.858
Ca 1.284 3.099 1.858
```

Values from the calculation:
Total energy (Ry/atom): -0.2887
Crystal system: tetragonal
SG: I4/mmm, No. 139

---

Record 6
Compound: ZnNiTe2N
Source: the Alexandria database
Functional: PBE
Structure: optimized geometry

Structure (extended XYZ):
```
5
Lattice="5.419 0.000 0.000 0.000 5.419 0.000 0.000 0.000 3.409" Properties=species:S:1:pos:R:3 pbc="T T T"
Ni 0.000 0.000 0.000
Zn 2.709 2.709 1.704
Te 0.000 2.709 0.000
Te 2.709 0.000 0.000
N 0.000 0.000 1.704
```

Values from the calculation:
E_form (uncorrected) (eV per atom): 0.423
Total energy (Ry/atom): -0.2874
Crystal system: tetragonal
SG: P4/mmm, No. 123